1 | The following is a PBE calculation of a relaxed YV2Pd crystal, from Alexandria.

```
data_YV2Pd
_cell_length_a 4.135
_cell_length_b 4.135
_cell_length_c 10.252
_cell_angle_alpha 78.37
_cell_angle_beta 78.37
_cell_angle_gamma 90.00
_space_group_name_H-M_alt 'P 1'
_space_group_IT_number 1
_space_group_name_Hall 'P 1'
loop_
_atom_site_label
_atom_site_fract_x
_atom_site_fract_y
_atom_site_fract_z
V1 0.875 0.625 0.250
V2 0.875 0.125 0.750
V3 0.375 0.125 0.750
V4 0.875 0.125 0.250
Pd1 0.000 0.000 0.000
Pd2 0.750 0.250 0.500
Y1 0.500 0.500 0.000
Y2 0.250 0.750 0.500
```

Summary:
symmetry	I4_1/amd (141)

---

2 | The following is a PBE calculation of a relaxed YV2Pd crystal, from Alexandria.

```
data_YV2Pd
_cell_length_a 4.559
_cell_length_b 4.559
_cell_length_c 4.559
_cell_angle_alpha 60.00
_cell_angle_beta 60.00
_cell_angle_gamma 60.00
_space_group_name_H-M_alt 'P 1'
_space_group_IT_number 1
_space_group_name_Hall 'P 1'
loop_
_atom_site_label
_atom_site_fract_x
_atom_site_fract_y
_atom_site_fract_z
V1 0.250 0.250 0.250
V2 0.750 0.750 0.750
Y1 0.000 0.000 0.000
Pd1 0.500 0.500 0.500
```

Summary:
symmetry	Fm-3m (225)

---

Which structure is the most stable? The one labeled 2.

---

1 | The following is a PBE calculation of a relaxed Y2VPd2 crystal, from Alexandria.

```
data_Y2VPd2
_cell_length_a 3.840
_cell_length_b 3.840
_cell_length_c 8.248
_cell_angle_alpha 76.54
_cell_angle_beta 76.54
_cell_angle_gamma 90.00
_space_group_name_H-M_alt 'P 1'
_space_group_IT_number 1
_space_group_name_Hall 'P 1'
loop_
_atom_site_label
_atom_site_fract_x
_atom_site_fract_y
_atom_site_fract_z
Y1 0.389 0.389 0.222
Y2 0.611 0.611 0.778
Pd1 0.250 0.750 0.500
Pd2 0.750 0.250 0.500
V1 0.000 0.000 0.000
```

Summary:
symmetry	I4/mmm (139)

---

2 | The following is a PBE calculation of a relaxed Y2VPd2 crystal, from Alexandria.

```
data_Y2VPd2
_cell_length_a 7.366
_cell_length_b 7.366
_cell_length_c 4.002
_cell_angle_alpha 90.00
_cell_angle_beta 90.00
_cell_angle_gamma 90.00
_space_group_name_H-M_alt 'P 1'
_space_group_IT_number 1
_space_group_name_Hall 'P 1'
loop_
_atom_site_label
_atom_site_fract_x
_atom_site_fract_y
_atom_site_fract_z
Pd1 0.132 0.368 0.000
Pd2 0.868 0.632 0.000
Pd3 0.368 0.868 0.000
Pd4 0.632 0.132 0.000
Y1 0.174 0.674 0.500
Y2 0.326 0.174 0.500
Y3 0.674 0.826 0.500
Y4 0.826 0.326 0.500
V1 0.500 0.500 0.000
V2 0.000 0.000 0.000
```

Summary:
symmetry	P4/mbm (127)

---

Which structure is the most stable? The one labeled 2.